# 1
Here is Rb2BaYI6 after structural relaxation from the Alexandria database. Energies are from PBE.

CIF file:
```
data_Rb2BaYI6
_cell_length_a 12.838
_cell_length_b 12.838
_cell_length_c 12.838
_cell_angle_alpha 90.00
_cell_angle_beta 90.00
_cell_angle_gamma 90.00
_space_group_name_H-M_alt 'F m -3 m'
_space_group_IT_number 225
_space_group_name_Hall '-F 4 2 3'
loop_
_atom_site_label
_atom_site_type_symbol
_atom_site_fract_x
_atom_site_fract_y
_atom_site_fract_z
Rb1 Rb 0.250 0.250 0.250
Ba1 Ba 0.000 0.000 0.000
Y1 Y 0.000 0.000 0.500
I1 I 0.000 0.000 0.263
```

## Properties
Energy in eV/atom: -3.34
Theoretical density in g cm⁻³: 3.64
Formation energy without anion corrections in eV per atom: -1.378
Crystal system: cubic



# 2
Here is RbBaYI2 after structural relaxation from the Alexandria database. Energies are from PBE.

CIF file:
```
data_RbBaYI2
_cell_length_a 6.532
_cell_length_b 6.532
_cell_length_c 6.992
_cell_angle_alpha 90.00
_cell_angle_beta 90.00
_cell_angle_gamma 90.00
_space_group_name_H-M_alt 'P 4/m m m'
_space_group_IT_number 123
_space_group_name_Hall '-P 4 2'
loop_
_atom_site_label
_atom_site_type_symbol
_atom_site_fract_x
_atom_site_fract_y
_atom_site_fract_z
Rb1 Rb 0.000 0.000 0.000
Ba1 Ba 0.500 0.500 0.500
Y1 Y 0.000 0.000 0.500
I1 I 0.000 0.500 0.000
```

## Properties
Energy in eV/atom: -2.53
Theoretical density in g cm⁻³: 3.15
Formation energy without anion corrections in eV per atom: -0.043
Crystal system: tetragonal



# 3
Here is Rb2BaZrI6 after structural relaxation from the Alexandria database. Energies are from PBE.

CIF file:
```
data_Rb2BaZrI6
_cell_length_a 12.644
_cell_length_b 12.644
_cell_length_c 12.644
_cell_angle_alpha 90.00
_cell_angle_beta 90.00
_cell_angle_gamma 90.00
_space_group_name_H-M_alt 'F m -3 m'
_space_group_IT_number 225
_space_group_name_Hall '-F 4 2 3'
loop_
_atom_site_label
_atom_site_type_symbol
_atom_site_fract_x
_atom_site_fract_y
_atom_site_fract_z
Rb1 Rb 0.250 0.250 0.250
Ba1 Ba 0.000 0.000 0.000
Zr1 Zr 0.000 0.000 0.500
I1 I 0.000 0.000 0.266
```

## Properties
Energy in eV/atom: -3.37
Theoretical density in g cm⁻³: 3.81
Formation energy without anion corrections in eV per atom: -1.203
Crystal system: cubic



# 4
Here is BaReI2 after structural relaxation from the Alexandria database. Energies are from PBE.

CIF file:
```
data_BaReI2
_cell_length_a 8.283
_cell_length_b 8.283
_cell_length_c 8.283
_cell_angle_alpha 90.00
_cell_angle_beta 90.00
_cell_angle_gamma 90.00
_space_group_name_H-M_alt 'F m -3 m'
_space_group_IT_number 225
_space_group_name_Hall '-F 4 2 3'
loop_
_atom_site_label
_atom_site_type_symbol
_atom_site_fract_x
_atom_site_fract_y
_atom_site_fract_z
Ba1 Ba 0.000 0.000 0.000
Re1 Re 0.000 0.000 0.500
I1 I 0.250 0.250 0.250
```

## Properties
Energy in eV/atom: -3.90
Theoretical density in g cm⁻³: 6.75
Energy relative to the lowest polymorph listed for this composition in eV/atom: 0.016
Formation energy without anion corrections in eV per atom: 0.465
Crystal system: cubic



# 5
Here is BaRe3I after structural relaxation from the Alexandria database. Energies are from PBE.

CIF file:
```
data_BaRe3I
_cell_length_a 5.002
_cell_length_b 5.002
_cell_length_c 5.002
_cell_angle_alpha 90.00
_cell_angle_beta 90.00
_cell_angle_gamma 90.00
_space_group_name_H-M_alt 'P m -3 m'
_space_group_IT_number 221
_space_group_name_Hall '-P 4 2 3'
loop_
_atom_site_label
_atom_site_type_symbol
_atom_site_fract_x
_atom_site_fract_y
_atom_site_fract_z
Ba1 Ba 0.000 0.000 0.000
Re1 Re 0.000 0.500 0.500
I1 I 0.500 0.500 0.500
```

## Properties
Energy in eV/atom: -5.81
Theoretical density in g cm⁻³: 10.92
Energy relative to the lowest polymorph listed for this composition in eV/atom: 0.000
Formation energy without anion corrections in eV per atom: 2.354
Crystal system: cubic



# 6
Here is BaRe3I after structural relaxation from the Alexandria database. Energies are from PBE.

CIF file:
```
data_BaRe3I
_cell_length_a 6.083
_cell_length_b 6.083
_cell_length_c 6.083
_cell_angle_alpha 90.00
_cell_angle_beta 90.00
_cell_angle_gamma 90.00
_space_group_name_H-M_alt 'P m -3 m'
_space_group_IT_number 221
_space_group_name_Hall '-P 4 2 3'
loop_
_atom_site_label
_atom_site_type_symbol
_atom_site_fract_x
_atom_site_fract_y
_atom_site_fract_z
Ba1 Ba 0.000 0.000 0.000
Re1 Re 0.000 0.000 0.500
I1 I 0.500 0.500 0.500
```

## Properties
Energy in eV/atom: -4.30
Theoretical density in g cm⁻³: 6.07
Energy relative to the lowest polymorph listed for this composition in eV/atom: 1.509
Formation energy without anion corrections in eV per atom: 3.863
Crystal system: cubic



# 7
Here is BaRe2I after structural relaxation from the Alexandria database. Energies are from PBE.

CIF file:
```
data_BaRe2I
_cell_length_a 7.006
_cell_length_b 7.006
_cell_length_c 7.006
_cell_angle_alpha 90.00
_cell_angle_beta 90.00
_cell_angle_gamma 90.00
_space_group_name_H-M_alt 'F m -3 m'
_space_group_IT_number 225
_space_group_name_Hall '-F 4 2 3'
loop_
_atom_site_label
_atom_site_type_symbol
_atom_site_fract_x
_atom_site_fract_y
_atom_site_fract_z
Ba1 Ba 0.000 0.000 0.000
Re1 Re 0.250 0.250 0.250
I1 I 0.000 0.000 0.500
```

## Properties
Energy in eV/atom: -5.09
Theoretical density in g cm⁻³: 12.30
Energy relative to the lowest polymorph listed for this composition in eV/atom: 0.846
Formation energy without anion corrections in eV per atom: 2.003
Crystal system: cubic



# 8
Here is BaRe2I after structural relaxation from the Alexandria database. Energies are from PBE.

CIF file:
```
data_BaRe2I
_cell_length_a 4.976
_cell_length_b 4.976
_cell_length_c 18.745
_cell_angle_alpha 90.00
_cell_angle_beta 90.00
_cell_angle_gamma 90.00
_space_group_name_H-M_alt 'I -4 2 d'
_space_group_IT_number 122
_space_group_name_Hall 'I -4 2bw'
loop_
_atom_site_label
_atom_site_type_symbol
_atom_site_fract_x
_atom_site_fract_y
_atom_site_fract_z
Ba1 Ba 0.000 0.000 0.000
Re1 Re 0.045 0.750 0.625
I1 I 0.000 0.000 0.500
```

## Properties
Energy in eV/atom: -5.93
Theoretical density in g cm⁻³: 9.11
Energy relative to the lowest polymorph listed for this composition in eV/atom: 0.000
Formation energy without anion corrections in eV per atom: 1.158
Crystal system: tetragonal



# 9
Here is BaReI2 after structural relaxation from the Alexandria database. Energies are from PBE.

CIF file:
```
data_BaReI2
_cell_length_a 6.157
_cell_length_b 6.157
_cell_length_c 16.129
_cell_angle_alpha 90.00
_cell_angle_beta 90.00
_cell_angle_gamma 90.00
_space_group_name_H-M_alt 'I -4 2 d'
_space_group_IT_number 122
_space_group_name_Hall 'I -4 2bw'
loop_
_atom_site_label
_atom_site_type_symbol
_atom_site_fract_x
_atom_site_fract_y
_atom_site_fract_z
Ba1 Ba 0.000 0.000 0.000
Re1 Re 0.000 0.000 0.500
I1 I 0.148 0.250 0.625
```

## Properties
Energy in eV/atom: -3.92
Theoretical density in g cm⁻³: 6.27
Energy relative to the lowest polymorph listed for this composition in eV/atom: 0.000
Formation energy without anion corrections in eV per atom: 0.449
Crystal system: tetragonal



# 10
Here is BaReSb2I after structural relaxation from the Alexandria database. Energies are from PBE.

CIF file:
```
data_BaReSb2I
_cell_length_a 6.001
_cell_length_b 6.001
_cell_length_c 5.055
_cell_angle_alpha 90.00
_cell_angle_beta 90.00
_cell_angle_gamma 90.00
_space_group_name_H-M_alt 'P 4/m m m'
_space_group_IT_number 123
_space_group_name_Hall '-P 4 2'
loop_
_atom_site_label
_atom_site_type_symbol
_atom_site_fract_x
_atom_site_fract_y
_atom_site_fract_z
Ba1 Ba 0.000 0.000 0.000
Re1 Re 0.500 0.500 0.000
Sb1 Sb 0.000 0.500 0.500
I1 I 0.500 0.500 0.500
```

## Properties
Energy in eV/atom: -3.75
Theoretical density in g cm⁻³: 6.33
Energy relative to the lowest polymorph listed for this composition in eV/atom: 1.133
Formation energy without anion corrections in eV per atom: 1.085
Crystal system: tetragonal



# 11
Here is BaReSb2I after structural relaxation from the Alexandria database. Energies are from PBE.

CIF file:
```
data_BaReSb2I
_cell_length_a 5.180
_cell_length_b 5.180
_cell_length_c 6.080
_cell_angle_alpha 90.00
_cell_angle_beta 90.00
_cell_angle_gamma 90.00
_space_group_name_H-M_alt 'P 4/m m m'
_space_group_IT_number 123
_space_group_name_Hall '-P 4 2'
loop_
_atom_site_label
_atom_site_type_symbol
_atom_site_fract_x
_atom_site_fract_y
_atom_site_fract_z
Ba1 Ba 0.000 0.000 0.000
Re1 Re 0.500 0.500 0.500
Sb1 Sb 0.000 0.500 0.500
I1 I 0.500 0.500 0.000
```

## Properties
Energy in eV/atom: -4.88
Theoretical density in g cm⁻³: 7.06
Energy relative to the lowest polymorph listed for this composition in eV/atom: 0.000
Formation energy without anion corrections in eV per atom: -0.048
Crystal system: tetragonal



# 12
Here is Ba2ReSnI after structural relaxation from the Alexandria database. Energies are from PBE.

CIF file:
```
data_Ba2ReSnI
_cell_length_a 6.685
_cell_length_b 6.685
_cell_length_c 6.032
_cell_angle_alpha 90.00
_cell_angle_beta 90.00
_cell_angle_gamma 90.00
_space_group_name_H-M_alt 'P 4/m m m'
_space_group_IT_number 123
_space_group_name_Hall '-P 4 2'
loop_
_atom_site_label
_atom_site_type_symbol
_atom_site_fract_x
_atom_site_fract_y
_atom_site_fract_z
Ba1 Ba 0.000 0.500 0.000
Re1 Re 0.000 0.000 0.500
Sn1 Sn 0.500 0.500 0.000
I1 I 0.500 0.500 0.500
```

## Properties
Energy in eV/atom: -3.30
Theoretical density in g cm⁻³: 4.35
Formation energy without anion corrections in eV per atom: 1.069
Crystal system: tetragonal



Q: Among the records above, which one has the lowest formation energy without anion corrections?
A: Rb2BaYI6



Q: Which of these has the highest energy?
A: RbBaYI2